# Cs2CoSe2S (PBE, relaxed)
data_Cs2CoSe2S
_symmetry_space_group_name_H-M 'P 1'
_symmetry_Int_Tables_number 1
_cell_length_a 7.9484
_cell_length_b 7.9484
_cell_length_c 10.1669
_cell_angle_alpha 120.03
_cell_angle_beta 120.03
_cell_angle_gamma 54.74
loop_
_symmetry_equiv_pos_as_xyz
'x,y,z'
loop_
_atom_site_label
_atom_site_fract_x
_atom_site_fract_y
_atom_site_fract_z
_atom_site_occupancy
Co1 0.3994 0.3994 0.3440 1
Co2 0.6006 0.6006 0.6560 1
Se1 0.7825 0.7825 0.7248 1
Se2 0.2175 0.2175 0.2752 1
Se3 0.3883 0.3883 0.1157 1
Se4 0.6117 0.6117 0.8843 1
Cs1 0.6946 0.6946 0.3143 1
Cs2 0.9193 0.9193 0.1491 1
Cs3 0.3054 0.3054 0.6857 1
Cs4 0.0807 0.0807 0.8509 1
S1 0.7182 0.2818 0.5000 1
S2 0.2818 0.7182 0.5000 1
# * total energy: -4.01 eV/atom